# LiV2Ru2, optimized geometry, DFT GGA-PBE
# Energy of formation from the pure elements ... -0.016 eV/atom
# Calculated density ... 7.049 g/cm3
# Total magnetic moment ... 0.00 μB/cell
# Calculated volume ... 146.5 Å³ per cell
# Uncorrected energy ... -77.57 eV for the cell shown
data_LiV2Ru2
_space_group_name_H-M_alt 'P 4/m b m'
_space_group_IT_number 127
_space_group_name_Hall '-P 4 2ab'
_cell_length_a 7.2194
_cell_length_b 7.2194
_cell_length_c 2.8112
_cell_angle_alpha 90.00
_cell_angle_beta 90.00
_cell_angle_gamma 90.00
loop_
_atom_site_label
_atom_site_type_symbol
_atom_site_fract_x
_atom_site_fract_y
_atom_site_fract_z
Li1 Li 0.0000 0.0000 0.0000
V1 V 0.1450 0.3550 0.0000
Ru1 Ru 0.1516 0.6516 0.5000